No. 1
Compound: La5CdIr
Source: Alexandria via LeMat-Bulk
Functional: PBE
Structure: relaxed

Cell lengths 6.3547, 6.3547, 12.1914 Å; angles 76.41, 76.41, 75.37 degrees
Element x y z (fractional)
La  0.9378  0.5783  0.1321
La  0.5527  0.2058  0.0558
La  0.0087  0.9913  0.2500
La  0.5783  0.9378  0.6321
La  0.4473  0.7942  0.9442
La  0.4217  0.0622  0.3679
La  0.2058  0.5527  0.5558
La  0.0622  0.4217  0.8679
La  0.9913  0.0087  0.7500
La  0.7942  0.4473  0.4442
Cd  0.5771  0.4229  0.7500
Cd  0.4229  0.5771  0.2500
Ir  0.0000  0.0000  0.5000
Ir  0.0000  0.0000  0.0000

Total magnetization ... 0.0 μB per formula unit
Space-group type ... C2/c
ΔE_f ... -0.28 eV/atom



No. 2
Compound: Tb2PmBr6
Source: Alexandria via LeMat-Bulk
Functional: PBE
Structure: relaxed

Cell lengths 7.0042, 7.0042, 8.0502 Å; angles 64.21, 64.21, 60.00 degrees
Each line ends with the local moment (μB).
Element x y z (fractional)
Br  0.0795  0.7551  0.7496  0.00
Br  0.9041  0.2479  0.2479  0.00
Br  0.6001  0.9041  0.2479  0.00
Br  0.7551  0.4157  0.7496  0.00
Br  0.4157  0.0795  0.7496  0.00
Br  0.2479  0.6001  0.2479  0.00
Tb  0.4976  0.4976  0.5073  0.19
Tb  0.8316  0.8316  0.5052  0.31
Pm  0.3341  0.3341  0.9977  0.06

Total magnetization ... 0.9 μB per formula unit
ΔE_f (raw) ... -1.5111 eV/atom
Space-group type ... R3



No. 3
Compound: Sr2NpPaO6
Source: Alexandria via LeMat-Bulk
Functional: PBE
Structure: relaxed

Cell lengths 6.0636, 6.2165, 8.6671 Å; angles 90.00, 90.06, 90.00 degrees
Each line ends with the local moment (μB).
Element x y z (fractional)
O  0.8033  0.7915  0.5594  -0.03
O  0.6967  0.2916  0.9406  -0.03
O  0.6071  0.0448  0.2447  -0.03
O  0.2931  0.6980  0.4438  -0.03
O  0.3929  0.9552  0.7553  -0.03
O  0.1071  0.4552  0.7446  -0.03
O  0.1967  0.2085  0.4406  -0.03
O  0.7931  0.8021  0.9438  -0.03
O  0.8929  0.5448  0.2554  -0.03
O  0.2069  0.1979  0.0562  -0.03
O  0.7069  0.3020  0.5562  -0.03
O  0.3033  0.7084  0.0594  -0.03
Sr  0.4873  0.4554  0.2504  0.01
Sr  0.9873  0.0446  0.7504  0.01
Sr  0.5127  0.5446  0.7496  0.01
Sr  0.0127  0.9554  0.2496  0.01
Np  0.0000  0.5000  0.0000  3.60
Np  0.5000  0.0000  0.5000  3.60
Pa  0.5000  0.0000  0.0000  0.40
Pa  0.0000  0.5000  0.5000  0.40

Total magnetization ... 4.0 μB per formula unit
ΔE_f (raw) ... -3.1342 eV/atom
Space-group type ... P2_1/c



No. 4
Compound: Hg2Pd2Pb
Source: Alexandria via LeMat-Bulk
Functional: PBE
Structure: relaxed

Cell lengths 8.1941, 8.1941, 3.1200 Å; angles 90.00, 90.00, 90.00 degrees
Element x y z (fractional)
Hg  0.1337  0.3663  0.0000
Hg  0.3663  0.8663  0.0000
Hg  0.8663  0.6337  0.0000
Hg  0.6337  0.1337  0.0000
Pd  0.8372  0.3372  0.5000
Pd  0.1628  0.6628  0.5000
Pd  0.6628  0.8372  0.5000
Pd  0.3372  0.1628  0.5000
Pb  0.0000  0.0000  0.0000
Pb  0.5000  0.5000  0.0000

Total magnetization ... 0.0 μB per formula unit
Polymorph energy (0 for the lowest one) ... 56 meV/atom
Space-group type ... P4/mbm
ΔE_f ... -0.06 eV/atom



No. 5
Compound: Ce2NdAu8
Source: Alexandria via LeMat-Bulk
Functional: PBE
Structure: relaxed

Cell lengths 5.2562, 6.1059, 8.6850 Å; angles 110.59, 107.63, 89.96 degrees
Each line ends with the local moment (μB).
Element x y z (fractional)
Ce  0.6844  0.6844  0.3689  0.69
Ce  0.3156  0.3156  0.6311  0.69
Au  0.1332  0.3607  0.2659  0.01
Au  0.8673  0.0948  0.7341  0.01
Au  0.7500  0.4997  0.0000  0.00
Au  0.7014  0.2014  0.4028  0.01
Au  0.8668  0.6393  0.7341  0.01
Au  0.1327  0.9052  0.2659  0.01
Au  0.2500  0.5003  0.0000  0.00
Au  0.2986  0.7986  0.5972  0.01
Nd  0.5000  0.0000  0.0000  0.02

Total magnetization ... 1.7 μB per formula unit
Space-group type ... Immm
ΔE_f ... -0.63 eV/atom



No. 6
Compound: BC2
Source: Alexandria via LeMat-Bulk
Functional: PBE
Structure: relaxed

Cell lengths 6.0852, 6.0852, 5.2350 Å; angles 102.97, 102.97, 23.98 degrees
Element x y z (fractional)
C  0.3196  0.3196  0.1587
C  0.2520  0.2520  0.3582
C  0.0109  0.0109  0.5053
C  0.5815  0.5815  0.0294
C  0.5849  0.5849  0.5500
C  0.6642  0.6642  0.8375
C  0.2417  0.2417  0.8793
C  0.0113  0.0113  0.0100
B  0.9220  0.9220  0.2116
B  0.6681  0.6681  0.3403
B  0.9277  0.9277  0.7100
B  0.3161  0.3161  0.6597

Total magnetization ... 0.0 μB per formula unit
Polymorph energy (0 for the lowest one) ... 65 meV/atom
Space-group type ... Cm
ΔE_f ... 0.31 eV/atom



No. 7
Compound: NaNbBr4
Source: Alexandria via LeMat-Bulk
Functional: PBE
Structure: relaxed

Cell lengths 6.1659, 8.3760, 8.3760 Å; angles 61.46, 89.93, 89.93 degrees
Each line ends with the local moment (μB).
Element x y z (fractional)
Br  0.4135  0.7332  0.4995  0.00
Br  0.8978  0.9237  0.2914  0.00
Br  0.0865  0.5005  0.2668  0.00
Br  0.6022  0.7086  0.0763  0.00
Br  0.5865  0.2668  0.5005  0.00
Br  0.3978  0.2914  0.9237  0.00
Br  0.9135  0.4995  0.7332  0.00
Br  0.1022  0.0763  0.7086  0.00
Nb  0.2500  0.4192  0.5808  0.12
Nb  0.7500  0.5808  0.4192  0.12
Na  0.2500  0.9089  0.0911  0.00
Na  0.7500  0.0911  0.9089  0.00

Total magnetization ... 0.2 μB per formula unit
ΔE_f (raw) ... -1.0139 eV/atom
Space-group type ... C2/c



No. 8
Compound: AgPt3
Source: Alexandria via LeMat-Bulk
Functional: PBE
Structure: relaxed

Cell lengths 4.0029, 4.0029, 4.0029 Å; angles 90.00, 90.00, 90.00 degrees
Element x y z (fractional)
Ag  0.0000  0.0000  0.0000
Pt  0.0000  0.5000  0.5000
Pt  0.5000  0.0000  0.5000
Pt  0.5000  0.5000  0.0000

Total magnetization ... 0.0 μB per formula unit
Space-group type ... Pm-3m
ΔE_f ... 0.04 eV/atom



No. 9
Compound: LiDyTcGe2
Source: Alexandria via LeMat-Bulk
Functional: PBE
Structure: relaxed

Cell lengths 4.0293, 4.0293, 6.2287 Å; angles 108.87, 108.87, 90.00 degrees
Each line ends with the local moment (μB).
Element x y z (fractional)
Dy  0.0000  0.0000  0.0000  0.06
Ge  0.6167  0.6167  0.2333  0.00
Ge  0.3833  0.3833  0.7667  0.00
Li  0.2500  0.7500  0.5000  -0.01
Tc  0.7500  0.2500  0.5000  0.65

Total magnetization ... 0.8 μB per formula unit
Space-group type ... I-4m2
ΔE_f ... -0.41 eV/atom



No. 10
Compound: Rb3BeF6
Source: Alexandria via LeMat-Bulk
Functional: PBE
Structure: relaxed

Cell lengths 6.2783, 6.2783, 6.2777 Å; angles 60.00, 60.00, 90.00 degrees
Each line ends with the local moment (μB).
Element x y z (fractional)
F  0.6992  0.6992  0.0000  0.15
F  0.3008  0.3008  0.0000  0.15
F  0.3009  0.3009  0.3983  0.15
F  0.6992  0.3008  0.0000  0.15
F  0.6991  0.6991  0.6017  0.15
F  0.3008  0.6992  0.0000  0.15
Rb  0.2500  0.7500  0.5000  0.00
Rb  0.0000  0.0000  0.0000  0.00
Rb  0.7500  0.2500  0.5000  0.00
Be  0.5000  0.5000  0.0000  -0.01

Total magnetization ... 1.0 μB per formula unit
ΔE_f (raw) ... -2.5284 eV/atom
Polymorph energy (0 for the lowest one) ... 4 meV/atom
Space-group type ... Fm-3m



No. 11
Compound: Tb6ErTl2
Source: Alexandria via LeMat-Bulk
Functional: PBE
Structure: relaxed

Cell lengths 3.7465, 6.6832, 11.8221 Å; angles 74.55, 80.88, 73.72 degrees
Element x y z (fractional)
Tl  0.6388  0.9243  0.7981
Tl  0.3612  0.0757  0.2019
Er  0.0000  0.0000  0.0000
Tb  0.6909  0.2049  0.4133
Tb  0.3160  0.4916  0.8764
Tb  0.0148  0.3145  0.6558
Tb  0.3091  0.7951  0.5867
Tb  0.6840  0.5084  0.1236
Tb  0.9852  0.6855  0.3442

Total magnetization ... 0.0 μB per formula unit
Polymorph energy (0 for the lowest one) ... 0 meV/atom
Space-group type ... C2/m
ΔE_f ... -0.15 eV/atom



No. 12
Compound: Ir2Se
Source: Alexandria via LeMat-Bulk
Functional: PBE
Structure: relaxed

Cell lengths 5.9003, 5.9003, 5.9003 Å; angles 90.00, 90.00, 90.00 degrees
Element x y z (fractional)
Se  0.5000  0.0000  0.5000
Se  0.0000  0.5000  0.5000
Se  0.5000  0.5000  0.0000
Se  0.0000  0.0000  0.0000
Ir  0.6360  0.8640  0.8640
Ir  0.1360  0.6360  0.1360
Ir  0.3640  0.3640  0.6360
Ir  0.6360  0.6360  0.3640
Ir  0.3640  0.1360  0.1360
Ir  0.8640  0.1360  0.3640
Ir  0.8640  0.3640  0.8640
Ir  0.1360  0.8640  0.6360

Total magnetization ... 0.0 μB per formula unit
ΔE_f (raw) ... 0.7674 eV/atom
Polymorph energy (0 for the lowest one) ... 759 meV/atom
Space-group type ... Pa-3



No. 13
Compound: Zn2InAu
Source: Alexandria via LeMat-Bulk
Functional: PBE
Structure: relaxed

Cell lengths 5.1040, 5.1040, 5.1040 Å; angles 131.40, 131.40, 71.18 degrees
Element x y z (fractional)
Zn  0.0000  0.0000  0.0000
Zn  0.2500  0.7500  0.5000
In  0.7500  0.2500  0.5000
Au  0.5000  0.5000  0.0000

Total magnetization ... 0.0 μB per formula unit
Space-group type ... I-4m2
ΔE_f ... -0.01 eV/atom



No. 14
Compound: LaTb5Ho2Er
Source: Alexandria via LeMat-Bulk
Functional: PBE
Structure: relaxed

Cell lengths 5.6312, 10.3211, 10.5464 Å; angles 90.00, 90.00, 105.83 degrees
Element x y z (fractional)
Tb  0.5203  0.0406  0.2378
Tb  0.2972  0.5944  0.7090
Tb  0.6148  0.2297  0.5228
Tb  0.9826  0.9653  0.5244
Tb  0.7192  0.4384  0.8146
Tb  0.7028  0.4056  0.2090
Tb  0.0174  0.0347  0.0244
Tb  0.2808  0.5616  0.3146
Tb  0.3852  0.7703  0.0228
Tb  0.4797  0.9594  0.7378
Ho  0.1120  0.2240  0.7333
Ho  0.8863  0.7726  0.8184
Ho  0.8880  0.7760  0.2333
Ho  0.1137  0.2274  0.3184
La  0.4175  0.8350  0.4513
La  0.5825  0.1650  0.9513
Er  0.1996  0.3992  0.0123
Er  0.8004  0.6008  0.5123

Total magnetization ... 0.0 μB per formula unit
Space-group type ... Cmc2_1
ΔE_f ... 0.16 eV/atom



No. 15
Compound: Pu2Cd3Sn3
Source: Alexandria via LeMat-Bulk
Functional: PBE
Structure: relaxed

Cell lengths 4.8246, 4.6193, 8.9488 Å; angles 90.00, 90.00, 90.00 degrees
Each line ends with the local moment (μB).
Element x y z (fractional)
Cd  0.5000  0.5000  0.7568  -0.02
Cd  0.5000  0.5000  0.2432  -0.02
Cd  0.5000  0.0000  0.0000  -0.03
Sn  0.5000  0.0000  0.5000  0.02
Sn  0.0000  0.5000  0.5000  0.01
Sn  0.0000  0.5000  0.0000  0.01
Pu  0.0000  0.0000  0.7451  -5.33
Pu  0.0000  0.0000  0.2549  -5.33

Total magnetization ... 11.3 μB per formula unit
Space-group type ... Pmmm
ΔE_f ... -0.25 eV/atom



No. 16
Compound: BaNa2GaHg
Source: Alexandria via LeMat-Bulk
Functional: PBE
Structure: relaxed

Cell lengths 5.6656, 5.3772, 5.6656 Å; angles 90.00, 90.00, 90.00 degrees
Element x y z (fractional)
Na  0.5000  0.0000  0.0000
Na  0.0000  0.0000  0.5000
Hg  0.0000  0.5000  0.0000
Ga  0.0000  0.0000  0.0000
Ba  0.5000  0.5000  0.5000

Total magnetization ... 0.0 μB per formula unit
Space-group type ... P4/mmm
ΔE_f ... -0.06 eV/atom



No. 17
Compound: SbS2Cl2
Source: Alexandria via LeMat-Bulk
Functional: PBE
Structure: relaxed

Cell lengths 5.8627, 5.8627, 5.5092 Å; angles 57.85, 57.85, 90.00 degrees
Element x y z (fractional)
S  0.3662  0.3662  0.2675
S  0.6338  0.6338  0.7325
Sb  0.0000  0.0000  0.0000
Cl  0.7500  0.2500  0.5000
Cl  0.2500  0.7500  0.5000

Total magnetization ... 0.0 μB per formula unit
ΔE_f (raw) ... 0.3789 eV/atom
Polymorph energy (0 for the lowest one) ... 725 meV/atom
Space-group type ... I4/mmm



No. 18
Compound: Pm3Sm6Tm2
Source: Alexandria via LeMat-Bulk
Functional: PBE
Structure: relaxed

Cell lengths 5.7840, 6.7878, 11.9644 Å; angles 78.13, 61.14, 64.78 degrees
Element x y z (fractional)
Sm  0.4564  0.7004  0.6940
Sm  0.7093  0.0000  0.7913
Sm  0.1567  0.2996  0.6940
Sm  0.2907  0.0000  0.2087
Sm  0.5436  0.2996  0.3060
Sm  0.8433  0.7004  0.3060
Tm  0.1324  0.7352  0.5000
Tm  0.8676  0.2648  0.5000
Pm  0.7052  0.5896  0.0000
Pm  0.0000  0.0000  0.0000
Pm  0.2948  0.4104  0.0000

Total magnetization ... 0.0 μB per formula unit
Polymorph energy (0 for the lowest one) ... 0 meV/atom
Space-group type ... C2/m
ΔE_f ... 0.14 eV/atom



No. 19
Compound: SmY3Th2Sb6
Source: Alexandria via LeMat-Bulk
Functional: PBE
Structure: relaxed

Cell lengths 4.4543, 8.8694, 9.9277 Å; angles 102.70, 102.96, 90.00 degrees
Element x y z (fractional)
Sb  0.6678  0.0784  0.3356
Sb  0.3322  0.9216  0.6644
Sb  0.0021  0.7473  0.0041
Sb  0.3346  0.4123  0.6692
Sb  0.6654  0.5877  0.3308
Sb  0.9979  0.2527  0.9959
Th  0.8348  0.6689  0.6696
Th  0.1652  0.3311  0.3304
Y  0.1663  0.8339  0.3326
Y  0.5000  0.5000  0.0000
Y  0.8337  0.1661  0.6674
Sm  0.5000  0.0000  0.0000

Total magnetization ... 0.0 μB per formula unit
ΔE_f (raw) ... -1.0909 eV/atom
Space-group type ... C2/m



No. 20
Compound: NdSm2Ho3Te6
Source: Alexandria via LeMat-Bulk
Functional: PBE
Structure: relaxed

Cell lengths 4.3584, 8.8858, 9.8794 Å; angles 104.20, 102.74, 90.00 degrees
Element x y z (fractional)
Sm  0.1657  0.3316  0.3314
Sm  0.8343  0.6684  0.6686
Nd  0.5000  0.0000  0.0000
Te  0.3350  0.4116  0.6699
Te  0.3295  0.9214  0.6590
Te  0.0018  0.7416  0.0036
Te  0.6705  0.0786  0.3410
Te  0.6650  0.5884  0.3301
Te  0.9982  0.2584  0.9964
Ho  0.5000  0.5000  0.0000
Ho  0.8349  0.1671  0.6698
Ho  0.1651  0.8329  0.3302

Total magnetization ... 0.0 μB per formula unit
ΔE_f (raw) ... -1.3247 eV/atom
Space-group type ... C2/m



No. 21
Compound: Hf2AlIn
Source: Alexandria via LeMat-Bulk
Functional: PBE
Structure: relaxed

Cell lengths 7.7499, 7.7499, 6.2210 Å; angles 51.47, 51.47, 90.00 degrees
Element x y z (fractional)
In  0.7500  0.2500  0.5000
In  0.0000  0.0000  0.0000
Hf  0.1345  0.6250  0.2500
Hf  0.8750  0.8655  0.7500
Hf  0.6155  0.1250  0.2500
Hf  0.3750  0.3845  0.7500
Al  0.5000  0.5000  0.0000
Al  0.2500  0.7500  0.5000

Total magnetization ... 0.0 μB per formula unit
Polymorph energy (0 for the lowest one) ... 463 meV/atom
Space-group type ... I-42d
ΔE_f ... 0.20 eV/atom



No. 22
Compound: PmY3Ga4
Source: Alexandria via LeMat-Bulk
Functional: PBE
Structure: relaxed

Cell lengths 5.0933, 7.1999, 10.1888 Å; angles 90.00, 90.00, 90.00 degrees
Element x y z (fractional)
Ga  0.5000  0.2447  0.5000
Ga  0.5000  0.2447  0.0000
Ga  0.9999  0.7553  0.2500
Ga  0.9999  0.2447  0.2500
Ga  0.5000  0.7553  0.0000
Ga  0.0001  0.2447  0.7500
Ga  0.0001  0.7553  0.7500
Ga  0.5000  0.7553  0.5000
Y  0.0000  0.0000  0.5000
Y  0.5000  0.0000  0.7500
Y  0.5000  0.0000  0.2500
Y  0.0000  0.0000  0.0000
Y  0.5002  0.5000  0.7500
Y  0.4998  0.5000  0.2500
Pm  0.0000  0.5000  0.5000
Pm  0.0000  0.5000  0.0000

Total magnetization ... 0.0 μB per formula unit
Space-group type ... P4/mmm
ΔE_f ... -0.59 eV/atom